Entry 1:
Density functional theory data (PBE-GGA) for a relaxed structure of KCrCl5.

The structure in POSCAR format:
```
KCrCl5
1.0
11.705 5.833 -5.506
7.214 7.657 -0.918
-13.193 -2.889 16.254
K Cr Cl
2 2 10
Cartesian
11.501 8.693 -2.283 K
-5.775 1.907 12.113 K
7.214 7.657 -0.918 Cr
2.863 5.300 4.915 Cr
6.172 7.403 1.061 Cl
8.142 5.436 -0.842 Cl
2.949 6.407 6.900 Cl
5.193 4.045 0.093 Cl
-3.360 2.173 9.646 Cl
9.086 8.427 0.184 Cl
0.533 6.555 9.737 Cl
2.777 4.193 2.930 Cl
-2.416 5.164 10.673 Cl
-0.446 3.197 8.770 Cl
```

Computed properties:
E_form (uncorrected), eV/atom: -1.169
Volume, Å³ per cell: 371.0
DOS(E_F), states/eV per cell: 12.2



Entry 2:
Density functional theory data (PBE-GGA) for a relaxed structure of Al2CdFe.

The structure in POSCAR format:
```
Al2CdFe
1.0
4.457 0.000 0.000
2.228 3.860 0.000
2.228 1.287 3.639
Al Fe Cd
2 1 1
Cartesian
0.000 0.000 0.000 Al
2.228 1.287 0.910 Al
6.685 3.860 2.729 Fe
4.457 2.573 1.820 Cd
```

Computed properties:
E_form, eV per atom: 0.30
Volume, Å³ per cell: 62.6
DOS(E_F), states/eV per cell: 3.4



Question: Which of these has the highest volume?
Answer: KCrCl5



Question: Number 2 is which compound?
Answer: Al2CdFe